{
  "formula": "ZnSbPO",
  "functional": "PBE",
  "state": "optimized geometry",
  "mass_density_g_cm3": 6.010,
  "energy_ha_per_atom": -0.162,
  "de_polymorph_mev_per_atom": 98.3,
  "spacegroup": "P4/nmm (129)",
  "cell": [[-3.583, 1.426, -0.095], [-0.719, -2.020, -3.206], [-2.785, -6.674, 4.830]],
  "species": ["Zn", "Zn", "Sb", "Sb", "O", "O", "P", "P"],
  "fractional_positions": [[0.000, 0.000, 0.500], [0.500, 0.500, 0.500], [0.500, 0.000, 0.138], [0.000, 0.500, 0.862], [0.500, 0.500, 0.000], [0.000, 0.000, 0.000], [0.500, 0.000, 0.676], [0.000, 0.500, 0.324]]
}